Below is a relaxed LiCrPO4 crystal, with properties calculated at the PBE with a Hubbard U level.

Lattice parameters (Å, degrees): 11.101 5.625 9.994 92.26 90.00 90.00
Last column: magnetic moment on the atom in μB.
Sites, in units of the cell vectors:
Li  0.890  0.129  0.990  0.00
Li  0.610  0.129  0.490  0.00
Li  0.361  0.447  0.692  0.00
Li  0.139  0.447  0.192  0.00
Li  0.861  0.553  0.808  0.00
Li  0.639  0.553  0.308  0.00
Li  0.390  0.871  0.510  0.00
Li  0.110  0.871  0.010  0.00
Cr  0.118  0.873  0.712  3.79
Cr  0.382  0.873  0.212  3.79
Cr  0.627  0.634  0.964  3.79
Cr  0.873  0.634  0.464  3.79
Cr  0.127  0.366  0.536  3.79
Cr  0.373  0.366  0.036  3.79
Cr  0.618  0.127  0.788  3.79
Cr  0.882  0.127  0.288  3.79
P  0.369  0.868  0.888  0.01
P  0.131  0.868  0.388  0.01
P  0.619  0.623  0.635  0.01
P  0.881  0.623  0.135  0.01
P  0.119  0.377  0.865  0.01
P  0.381  0.377  0.365  0.01
P  0.869  0.132  0.612  0.01
P  0.631  0.132  0.112  0.01
O  0.204  0.930  0.518  0.01
O  0.948  0.911  0.637  0.00
O  0.296  0.930  0.018  0.01
O  0.552  0.911  0.137  0.00
O  0.289  0.798  0.768  -0.01
O  0.543  0.846  0.609  0.01
O  0.211  0.798  0.268  -0.01
O  0.957  0.846  0.109  0.01
O  0.448  0.641  0.910  -0.01
O  0.695  0.683  0.764  0.01
O  0.052  0.641  0.410  -0.01
O  0.700  0.562  0.511  -0.01
O  0.042  0.606  0.842  -0.01
O  0.805  0.683  0.264  0.01
O  0.800  0.562  0.011  -0.01
O  0.458  0.606  0.342  -0.01
O  0.542  0.394  0.658  -0.01
O  0.200  0.438  0.989  -0.01
O  0.195  0.317  0.736  0.01
O  0.958  0.394  0.158  -0.01
O  0.300  0.438  0.489  -0.01
O  0.948  0.359  0.590  -0.01
O  0.305  0.317  0.236  0.01
O  0.552  0.359  0.090  -0.01
O  0.043  0.154  0.891  0.01
O  0.789  0.202  0.732  -0.01
O  0.457  0.154  0.391  0.01
O  0.711  0.202  0.232  -0.01
O  0.448  0.089  0.863  0.00
O  0.704  0.070  0.982  0.01
O  0.052  0.089  0.363  0.00
O  0.796  0.070  0.482  0.01

Results
Magnetic moment in μB/cell: 32.0
Raw total energy in eV per atom: -7.1055
Energy above the most stable polymorph in this dataset in meV per atom: 26